# MnCr2Re

MnCr2Re after structural relaxation (PBE-GGA, Alexandria via LeMat-Bulk).

Calculated values
ΔH_f (0 K)	0.08	eV per atom

a b c (Å): 4.821 4.821 4.821
angles (deg): 144.23 129.09 63.78
Fractional positions:
Mn1 0.000 0.000 0.000
Cr1 0.251 0.751 0.500
Cr2 0.749 0.249 0.500
Re1 0.500 0.500 0.000